Entry 1:
First-principles (PBE) data for an optimized crystal structure of Er2TmGa3AgPd2, as listed in OQMD via LeMat-Bulk.

Cell: 3.6521 7.5159 7.5159 Å, 119.96 90.00 90.00°
With the nearest neighbours (Å) after each atom.
Fractional coordinates of all 9 atoms:
Ag: 0.0000 0.0004 0.0004  6 Ga 2.74, 1 Tm 3.06, 2 Er 3.06
Ga: 0.5000 0.2715 0.0003  2 Ag 2.74, 2 Pd 2.76-2.78, 2 Er 3.03
Er: 0.0000 0.0000 0.5929  4 Pd 2.92, 6 Ga 3.03-3.26, 1 Ag 3.06
Tm: 0.0000 0.4070 0.4070  4 Pd 2.91, 6 Ga 3.03-3.26, 1 Ag 3.06
Er: 0.0000 0.5929 0.0000  4 Pd 2.92, 6 Ga 3.03-3.26, 1 Ag 3.06
Pd: 0.5000 0.3337 0.6658  3 Ga 2.76-2.78, 2 Tm 2.91, 4 Er 2.92
Ga: 0.5000 0.0003 0.2715  2 Ag 2.74, 2 Pd 2.76-2.78, 2 Er 3.03
Pd: 0.5000 0.6658 0.3337  3 Ga 2.76-2.78, 2 Tm 2.91, 4 Er 2.92
Ga: 0.5000 0.7283 0.7283  2 Ag 2.74, 2 Pd 2.76, 2 Tm 3.03

Summary:
electronic total energy: -42.65 eV per cell
magnetic moment: 0.002 μB/atom



Entry 2:
First-principles (PBE) data for an optimized crystal structure of Y2ErGa3AgPd2, as listed in OQMD via LeMat-Bulk.

Cell: 3.7003 7.5408 7.5408 Å, 119.86 90.00 90.00°
With the nearest neighbours (Å) after each atom.
Fractional coordinates of all 9 atoms:
Ga: 0.5000 0.7289 0.7289  2 Pd 2.76, 2 Ag 2.77, 2 Er 3.05
Ga: 0.5000 0.2709 0.0007  2 Ag 2.75, 2 Pd 2.77-2.81, 2 Y 3.06
Ga: 0.5000 0.0007 0.2709  2 Ag 2.75, 2 Pd 2.77-2.81, 2 Y 3.06
Pd: 0.5000 0.3343 0.6634  3 Ga 2.76-2.81, 2 Er 2.92, 4 Y 2.96
Er: 0.0000 0.4074 0.4074  4 Pd 2.92, 2 Ga 3.05, 1 Ag 3.07
Pd: 0.5000 0.6634 0.3343  3 Ga 2.76-2.81, 2 Er 2.92, 4 Y 2.96
Y: 0.0000 0.9997 0.5931  4 Pd 2.96, 6 Ga 3.06-3.29, 1 Ag 3.07
Y: 0.0000 0.5931 0.9997  4 Pd 2.96, 6 Ga 3.06-3.29, 1 Ag 3.07
Ag: 0.0000 0.0017 0.0017  6 Ga 2.75-2.77, 1 Er 3.07, 2 Y 3.07

Summary:
electronic total energy: -46.51 eV per cell
magnetic moment: 0.001 μB/atom



Copy entry 1 word for word.
First-principles (PBE) data for an optimized crystal structure of Er2TmGa3AgPd2, as listed in OQMD via LeMat-Bulk.

Cell: 3.6521 7.5159 7.5159 Å, 119.96 90.00 90.00°
With the nearest neighbours (Å) after each atom.
Fractional coordinates of all 9 atoms:
Ag: 0.0000 0.0004 0.0004  6 Ga 2.74, 1 Tm 3.06, 2 Er 3.06
Ga: 0.5000 0.2715 0.0003  2 Ag 2.74, 2 Pd 2.76-2.78, 2 Er 3.03
Er: 0.0000 0.0000 0.5929  4 Pd 2.92, 6 Ga 3.03-3.26, 1 Ag 3.06
Tm: 0.0000 0.4070 0.4070  4 Pd 2.91, 6 Ga 3.03-3.26, 1 Ag 3.06
Er: 0.0000 0.5929 0.0000  4 Pd 2.92, 6 Ga 3.03-3.26, 1 Ag 3.06
Pd: 0.5000 0.3337 0.6658  3 Ga 2.76-2.78, 2 Tm 2.91, 4 Er 2.92
Ga: 0.5000 0.0003 0.2715  2 Ag 2.74, 2 Pd 2.76-2.78, 2 Er 3.03
Pd: 0.5000 0.6658 0.3337  3 Ga 2.76-2.78, 2 Tm 2.91, 4 Er 2.92
Ga: 0.5000 0.7283 0.7283  2 Ag 2.74, 2 Pd 2.76, 2 Tm 3.03

Summary:
electronic total energy: -42.65 eV per cell
magnetic moment: 0.002 μB/atom